The following is a PBE calculation of crystalline Sr6AsRh at its relaxed geometry, from Alexandria via LeMat-Bulk.

Structure (POSCAR):
```
Sr6AsRh
1.0
-1.359 -6.892 2.733
8.040 -0.832 1.899
-1.994 4.500 10.411
Sr As Rh
12 2 2
direct
0.645 0.949 0.245 Sr
0.835 0.191 0.571 Sr
0.355 0.051 0.755 Sr
0.165 0.809 0.429 Sr
0.676 0.678 0.568 Sr
0.665 0.691 0.929 Sr
0.855 0.449 0.255 Sr
0.176 0.822 0.068 Sr
0.324 0.322 0.432 Sr
0.824 0.178 0.932 Sr
0.145 0.551 0.745 Sr
0.335 0.309 0.071 Sr
0.000 0.500 0.000 As
0.500 0.000 0.500 As
0.000 0.500 0.500 Rh
0.500 0.000 0.000 Rh
```

Output
E_form: -0.361 eV/atom
Space group: P2_1/c (14)

***

The following is a PBE calculation of crystalline ZrZn7 at its relaxed geometry, from Alexandria via LeMat-Bulk.

Structure (POSCAR):
```
ZrZn7
1.0
-0.231 -4.737 -2.370
0.016 -0.289 5.294
-5.292 -2.284 1.496
Zn Zr
7 1
direct
0.376 0.375 0.495 Zn
0.000 0.500 0.750 Zn
0.875 0.876 0.495 Zn
0.000 0.500 0.250 Zn
0.500 0.000 0.750 Zn
0.125 0.124 0.005 Zn
0.624 0.625 0.005 Zn
0.500 0.000 0.250 Zr
```

Output
E_form: -0.069 eV/atom
Space group: C2/m (12)
Energy above the most stable polymorph in this dataset: 33.0 meV per atom

***

The following is a PBE calculation of crystalline KInCu4 at its relaxed geometry, from Alexandria via LeMat-Bulk.

Structure (POSCAR):
```
KInCu4
1.0
-1.670 -4.876 1.030
-2.926 -0.930 4.266
-5.092 -1.198 -0.515
K Cu In
1 4 1
direct
0.000 0.000 0.000 K
0.376 0.376 0.376 Cu
0.871 0.376 0.376 Cu
0.376 0.376 0.871 Cu
0.376 0.871 0.376 Cu
0.750 0.750 0.750 In
```

Output
E_form: 0.222 eV/atom
Space group: F-43m (216)

***

The following is a PBE calculation of crystalline Y2Si3AgPt4 at its relaxed geometry, from Alexandria via LeMat-Bulk.

Structure (POSCAR):
```
Y2Si3AgPt4
1.0
-0.044 2.888 3.006
0.872 -2.933 2.830
10.232 1.654 -1.440
Pt Y Ag Si
4 2 1 3
direct
0.500 0.500 0.000 Pt
0.500 0.000 0.653 Pt
0.000 0.000 0.000 Pt
0.000 0.500 0.347 Pt
0.500 0.000 0.250 Y
0.000 0.500 0.750 Y
0.500 0.500 0.500 Ag
0.000 0.000 0.500 Si
0.500 0.000 0.873 Si
0.000 0.500 0.127 Si
```

Output
Formation energy (no corrections): -9.155 eV per formula unit
Space group: P-4m2 (115)

***

The following is a PBE calculation of crystalline Pu4Ge2P at its relaxed geometry, from Alexandria via LeMat-Bulk.

Structure (POSCAR):
```
Pu4Ge2P
1.0
-0.743 -1.220 3.397
0.501 -5.043 -1.701
7.490 0.439 -0.204
Ge P Pu
2 1 4
direct
0.744 0.838 0.489 Ge
0.256 0.162 0.511 Ge
0.000 0.000 0.000 P
0.407 0.729 0.814 Pu
0.877 0.411 0.753 Pu
0.593 0.271 0.186 Pu
0.123 0.589 0.247 Pu
```

Output
E_form: -0.428 eV/atom
Space group: C2/m (12)

***

The following is a PBE calculation of crystalline ZnCo2Si at its relaxed geometry, from Alexandria via LeMat-Bulk.

Structure (POSCAR):
```
ZnCo2Si
1.0
-2.750 3.671 -1.560
-1.582 0.093 -4.578
0.100 -2.479 4.161
Co Si Zn
2 1 1
direct
0.991 0.991 0.000 Co
0.736 0.236 0.500 Co
0.518 0.518 0.000 Si
0.255 0.755 0.500 Zn
```

Output
Formation energy (no corrections): -0.588 eV per formula unit
Space group: Imm2 (44)

***

The following is a PBE calculation of crystalline ZnMoAu2 at its relaxed geometry, from Alexandria via LeMat-Bulk.

Structure (POSCAR):
```
ZnMoAu2
1.0
-4.082 0.793 -4.985
2.354 -4.420 0.846
-2.429 -1.239 0.284
Zn Au Mo
1 2 1
direct
0.500 0.500 0.000 Zn
0.500 0.000 0.500 Au
0.000 0.000 0.000 Au
0.000 0.500 0.500 Mo
```

Output
E_form: 0.167 eV/atom
Space group: Cmmm (65)

***

The following is a PBE calculation of crystalline K2MnW at its relaxed geometry, from Alexandria via LeMat-Bulk.

Structure (POSCAR):
```
K2MnW
1.0
12.677 0.000 0.000
0.000 12.677 0.000
6.339 6.339 2.123
W Mn K
2 2 4
direct
0.750 0.250 0.500 W
0.000 0.000 0.000 W
0.250 0.750 0.500 Mn
0.500 0.500 0.000 Mn
0.301 0.625 0.250 K
0.875 0.699 0.750 K
0.449 0.125 0.250 K
0.375 0.551 0.750 K
```

Output
E_form: 1.743 eV/atom
Space group: I-42d (122)
Energy above the most stable polymorph in this dataset: 857.3 meV per atom

***

The following is a PBE calculation of crystalline Hf4TlSb at its relaxed geometry, from Alexandria via LeMat-Bulk.

Structure (POSCAR):
```
Hf4TlSb
1.0
-3.367 4.196 -2.417
1.800 -6.014 -4.995
-4.410 -2.188 5.563
Sb Tl Hf
2 2 8
direct
0.742 0.992 0.985 Sb
0.258 0.008 0.015 Sb
0.649 0.399 0.799 Tl
0.351 0.601 0.201 Tl
0.066 0.189 0.778 Hf
0.934 0.811 0.222 Hf
0.212 0.589 0.778 Hf
0.231 0.288 0.394 Hf
0.788 0.411 0.222 Hf
0.769 0.712 0.606 Hf
0.663 0.106 0.394 Hf
0.337 0.894 0.606 Hf
```

Output
Formation energy (no corrections): -0.486 eV per formula unit
Space group: C2/c (15)

***

The following is a PBE calculation of crystalline Rh2CI at its relaxed geometry, from Alexandria via LeMat-Bulk.

Structure (POSCAR):
```
Rh2CI
1.0
5.148 0.000 0.000
0.000 5.148 0.000
2.574 2.574 5.499
Rh C I
4 2 2
direct
0.375 0.493 0.750 Rh
0.875 0.757 0.750 Rh
0.243 0.625 0.250 Rh
0.507 0.125 0.250 Rh
0.500 0.500 0.000 C
0.250 0.750 0.500 C
0.750 0.250 0.500 I
0.000 0.000 0.000 I
```

Output
Formation energy (no corrections): 1.990 eV per formula unit
Space group: I-42d (122)
Energy above the most stable polymorph in this dataset: 0.0 meV per atom

***

The following is a PBE calculation of crystalline Ca2HoAg4 at its relaxed geometry, from Alexandria via LeMat-Bulk.

Structure (POSCAR):
```
Ca2HoAg4
1.0
5.066 0.000 -1.615
-0.515 5.039 -1.615
-0.392 -0.434 7.524
Ag Ca Ho
4 2 1
direct
0.387 0.887 0.775 Ag
0.613 0.113 0.225 Ag
0.113 0.613 0.225 Ag
0.887 0.387 0.775 Ag
0.725 0.725 0.450 Ca
0.275 0.275 0.550 Ca
0.000 0.000 0.000 Ho
```

Output
E_form: -0.120 eV/atom
Space group: I4/mmm (139)

***

The following is a PBE calculation of crystalline Nd2EuZn at its relaxed geometry, from Alexandria via LeMat-Bulk.

Structure (POSCAR):
```
Nd2EuZn
1.0
-0.684 0.091 5.479
3.801 -2.278 3.295
3.221 3.211 3.132
Zn Nd Eu
1 2 1
direct
0.000 0.000 0.000 Zn
0.250 0.250 0.250 Nd
0.750 0.750 0.750 Nd
0.500 0.500 0.500 Eu
```

Output
E_form: 0.044 eV/atom
Space group: Fm-3m (225)
Energy above the most stable polymorph in this dataset: 164.4 meV per atom

***

The following is a PBE calculation of crystalline ThGa2SiNi2 at its relaxed geometry, from Alexandria via LeMat-Bulk.

Structure (POSCAR):
```
ThGa2SiNi2
1.0
-1.076 -1.776 -3.783
-3.305 -2.029 1.892
-3.330 4.386 -1.113
Ni Ga Si Th
2 2 1 1
direct
0.500 0.000 0.000 Ni
0.000 0.500 0.000 Ni
0.500 0.500 0.738 Ga
0.500 0.500 0.262 Ga
0.000 0.000 0.000 Si
0.000 0.000 0.500 Th
```

Output
Formation energy (no corrections): -2.297 eV per formula unit
Space group: P4/mmm (123)

***

The following is a PBE calculation of crystalline LaHg2Bi at its relaxed geometry, from Alexandria via LeMat-Bulk.

Structure (POSCAR):
```
LaHg2Bi
1.0
8.727 0.000 0.000
0.000 8.727 0.000
4.364 4.364 3.255
Hg La Bi
4 2 2
direct
0.113 0.625 0.250 Hg
0.875 0.887 0.750 Hg
0.375 0.363 0.750 Hg
0.637 0.125 0.250 Hg
0.500 0.500 0.000 La
0.250 0.750 0.500 La
0.750 0.250 0.500 Bi
0.000 0.000 0.000 Bi
```

Output
E_form: -0.361 eV/atom
Space group: I-42d (122)

***

The following is a PBE calculation of crystalline Ca5Ag4 at its relaxed geometry, from Alexandria via LeMat-Bulk.

Structure (POSCAR):
```
Ca5Ag4
1.0
4.265 0.000 1.096
1.866 5.632 1.586
-0.463 -0.115 10.650
Ca Ag
5 4
direct
0.895 0.818 0.392 Ca
0.000 0.000 0.000 Ca
0.242 0.341 0.176 Ca
0.105 0.182 0.608 Ca
0.758 0.659 0.824 Ca
0.614 0.380 0.391 Ag
0.542 0.746 0.169 Ag
0.386 0.620 0.609 Ag
0.458 0.254 0.831 Ag
```

Output
E_form: -0.276 eV/atom
Space group: C2/m (12)
Energy above the most stable polymorph in this dataset: 0.0 meV per atom

***

The following is a PBE calculation of crystalline InPPdCl2 at its relaxed geometry, from Alexandria via LeMat-Bulk.

Structure (POSCAR):
```
InPPdCl2
1.0
-2.198 4.780 -0.281
-4.743 -2.131 0.849
0.564 0.521 4.460
P In Cl Pd
1 1 2 1
direct
0.000 0.000 0.500 P
0.500 0.500 0.500 In
0.000 0.500 0.000 Cl
0.500 0.000 0.000 Cl
0.000 0.000 0.000 Pd
```

Output
Formation energy (no corrections): -0.351 eV per formula unit
Space group: P4/mmm (123)
Energy above the most stable polymorph in this dataset: 0.0 meV per atom

***

The following is a PBE calculation of crystalline AlGaCu2 at its relaxed geometry, from Alexandria via LeMat-Bulk.

Structure (POSCAR):
```
AlGaCu2
1.0
-0.338 -0.586 2.746
-1.094 -2.474 0.824
6.989 -4.215 1.393
Cu Al Ga
2 1 1
direct
0.084 0.084 0.751 Cu
0.250 0.250 0.249 Cu
0.667 0.667 0.000 Al
0.500 0.500 0.500 Ga
```

Output
E_form: -0.078 eV/atom
Space group: Cm (8)

***

The following is a PBE calculation of crystalline ZrS2Br at its relaxed geometry, from Alexandria via LeMat-Bulk.

Structure (POSCAR):
```
ZrS2Br
1.0
-2.115 -0.992 -2.710
6.481 -3.642 -1.125
-2.769 -6.308 4.470
S Zr Br
4 2 2
direct
0.740 0.379 0.085 S
0.260 0.621 0.915 S
0.260 0.621 0.585 S
0.740 0.379 0.415 S
0.668 0.442 0.750 Zr
0.332 0.558 0.250 Zr
0.031 0.153 0.750 Br
0.969 0.847 0.250 Br
```

Output
Formation energy (no corrections): -4.592 eV per formula unit
Space group: P2_1/m (11)
Energy above the most stable polymorph in this dataset: 0.0 meV per atom

***

The following is a PBE calculation of crystalline Cs2AuF7 at its relaxed geometry, from Alexandria via LeMat-Bulk.

Structure (POSCAR):
```
Cs2AuF7
1.0
-6.209 -0.185 3.491
-1.067 -6.736 5.018
0.017 3.813 7.505
Cs F Au
4 14 2
direct
0.563 0.928 0.747 Cs
0.437 0.072 0.253 Cs
0.238 0.572 0.753 Cs
0.762 0.428 0.247 Cs
0.347 0.750 0.250 F
0.094 0.006 0.672 F
0.012 0.670 0.493 F
0.825 0.170 0.993 F
0.771 0.494 0.828 F
0.229 0.506 0.172 F
0.906 0.994 0.328 F
0.687 0.769 0.410 F
0.653 0.250 0.750 F
0.866 0.731 0.090 F
0.313 0.231 0.590 F
0.134 0.269 0.910 F
0.175 0.830 0.007 F
0.988 0.330 0.507 F
0.936 0.250 0.750 Au
0.064 0.750 0.250 Au
```

Output
Formation energy (no corrections): -16.180 eV per formula unit
Space group: C2/c (15)

***

The following is a PBE calculation of crystalline Cs2Pr2ThTe6 at its relaxed geometry, from Alexandria via LeMat-Bulk.

Structure (POSCAR):
```
Cs2Pr2ThTe6
1.0
7.977 -0.018 0.064
-3.958 6.925 0.064
-1.437 -2.470 9.142
Te Pr Th Cs
6 2 1 2
direct
0.608 0.933 0.306 Te
0.392 0.067 0.694 Te
0.262 0.262 0.307 Te
0.067 0.392 0.694 Te
0.738 0.738 0.693 Te
0.933 0.608 0.306 Te
0.667 0.333 0.500 Pr
0.333 0.667 0.500 Pr
0.000 0.000 0.500 Th
0.169 0.831 0.000 Cs
0.831 0.169 0.000 Cs
```

Output
Formation energy (no corrections): -15.158 eV per formula unit
Space group: C2/m (12)

***

The following is a PBE calculation of crystalline HfAgTe2 at its relaxed geometry, from Alexandria via LeMat-Bulk.

Structure (POSCAR):
```
HfAgTe2
1.0
2.277 0.000 8.970
-1.138 1.972 8.970
-1.138 -1.972 8.970
Hf Te Ag
1 2 1
direct
0.500 0.500 0.500 Hf
0.101 0.101 0.101 Te
0.899 0.899 0.899 Te
0.000 0.000 0.000 Ag
```

Output
Formation energy (no corrections): -1.678 eV per formula unit
Space group: R-3m (166)

***

The following is a PBE calculation of crystalline CsSc2TlSn at its relaxed geometry, from Alexandria via LeMat-Bulk.

Structure (POSCAR):
```
CsSc2TlSn
1.0
5.422 0.000 0.000
0.000 6.058 0.000
0.000 0.000 5.422
Tl Sn Sc Cs
1 1 2 1
direct
0.500 0.500 0.500 Tl
0.000 0.500 0.000 Sn
0.500 0.000 0.000 Sc
0.000 0.000 0.500 Sc
0.000 0.000 0.000 Cs
```

Output
E_form: 1.368 eV/atom
Space group: P4/mmm (123)

***

The following is a PBE calculation of crystalline Tb3HoAl at its relaxed geometry, from Alexandria via LeMat-Bulk.

Structure (POSCAR):
```
Tb3HoAl
1.0
-1.547 3.204 0.560
-5.120 -1.175 4.164
6.687 1.415 10.385
Tb Al Ho
6 2 2
direct
0.635 0.728 0.980 Tb
0.859 0.283 0.551 Tb
0.141 0.717 0.449 Tb
0.034 0.931 0.195 Tb
0.966 0.069 0.805 Tb
0.365 0.272 0.020 Tb
0.448 0.103 0.378 Al
0.552 0.897 0.622 Al
0.222 0.555 0.748 Ho
0.778 0.445 0.252 Ho
```

Output
E_form: -0.141 eV/atom
Space group: C2/m (12)
Energy above the most stable polymorph in this dataset: 0.0 meV per atom

***

The following is a PBE calculation of crystalline Re2CN at its relaxed geometry, from Alexandria via LeMat-Bulk.

Structure (POSCAR):
```
Re2CN
1.0
0.000 2.707 2.707
2.707 0.000 2.707
2.707 2.707 0.000
Re C N
2 1 1
direct
0.750 0.750 0.750 Re
0.250 0.250 0.250 Re
0.000 0.000 0.000 C
0.500 0.500 0.500 N
```

Output
Formation energy (no corrections): 4.446 eV per formula unit
Space group: Fm-3m (225)
Energy above the most stable polymorph in this dataset: 523.2 meV per atom